The following is a DFT calculation (PBE) of a relaxed Cs4K2Li crystal.

Results
Formation energy in eV per atom: 0.132
Raw total energy in eV for the cell shown: -6.6
M_tot in μB per formula unit: 0.000
Space-group type: I4/mmm

extended XYZ file:
```
7
Lattice="-3.8322 3.8322 11.9631 3.8322 -3.8322 11.9631 3.8322 3.8322 -11.9631" Properties=species:S:1:pos:R:3 pbc="T T T"
Cs 3.8322 0.0000 0.0000
Cs 0.0000 0.0000 4.1536
Cs 0.0000 3.8322 0.0000
Cs 0.0000 0.0000 19.7725
K 0.0000 0.0000 8.8827
K 0.0000 0.0000 15.0434
Li 0.0000 0.0000 0.0000
```